--- w ---
An optimized crystal structure of MgBe2Au2. Source: Alexandria via LeMat-Bulk, functional PBE.

Calculated values
- Calculated density: 10368 kg/m³

abc: 6.8755 6.8755 2.9560
angles: 90.00 90.00 90.00
With the nearest neighbours (Å) after each atom.
Atoms (fractional coordinates):
Mg 0.0000 0.0000 0.0000  4 Be 2.74, 8 Au 2.94, 2 Mg 2.96
Mg 0.5000 0.5000 0.0000  4 Be 2.74, 8 Au 2.94, 2 Mg 2.96
Be 0.1194 0.3806 0.0000  1 Be 2.32, 6 Au 2.50-2.53
Be 0.3806 0.8806 0.0000  1 Be 2.32, 6 Au 2.50-2.53
Be 0.6194 0.1194 0.0000  1 Be 2.32, 6 Au 2.50-2.53
Be 0.8806 0.6194 0.0000  1 Be 2.32, 6 Au 2.50-2.53
Au 0.1738 0.6738 0.5000  6 Be 2.50-2.53
Au 0.3262 0.1738 0.5000  6 Be 2.50-2.53
Au 0.6738 0.8262 0.5000  6 Be 2.50-2.53
Au 0.8262 0.3262 0.5000  6 Be 2.50-2.53

---

--- x ---
An optimized crystal structure of MgBe2Au2. Source: Alexandria via LeMat-Bulk, functional PBE.

Calculated values
- Calculated density: 9928 kg/m³

abc: 7.0154 7.0154 2.9653
angles: 90.00 90.00 90.00
With the nearest neighbours (Å) after each atom.
Atoms (fractional coordinates):
Mg 0.0000 0.0000 0.0000  4 Au 2.67, 2 Mg 2.97
Mg 0.5000 0.5000 0.0000  4 Au 2.67, 2 Mg 2.97
Be 0.1434 0.3566 0.5000  6 Au 2.53-2.54
Be 0.3566 0.8566 0.5000  6 Au 2.53-2.54
Be 0.6434 0.1434 0.5000  6 Au 2.53-2.54
Be 0.8566 0.6434 0.5000  6 Au 2.53-2.54
Au 0.1499 0.6499 0.0000  6 Be 2.53-2.54, 2 Mg 2.67
Au 0.3501 0.1499 0.0000  6 Be 2.53-2.54, 2 Mg 2.67
Au 0.6499 0.8501 0.0000  6 Be 2.53-2.54, 2 Mg 2.67
Au 0.8501 0.3501 0.0000  6 Be 2.53-2.54, 2 Mg 2.67

---

Most stable pick: w. Distance to second place: 9.5 kJ/mol of atoms.

---

--- w ---
An optimized crystal structure of MgBeAu. Source: Alexandria via LeMat-Bulk, functional PBE.

Calculated values
- Calculated density: 7662 kg/m³

abc: 3.0981 3.0981 6.0041
angles: 90.00 90.00 120.00
With the nearest neighbours (Å) after each atom.
Atoms (fractional coordinates):
Mg 0.0000 0.0000 0.0000  3 Be 2.77, 3 Au 2.94
Be 0.3333 0.6667 0.6488  3 Au 2.37
Au 0.6667 0.3333 0.3887  3 Be 2.37

---

--- x ---
An optimized crystal structure of MgBeAu. Source: Alexandria via LeMat-Bulk, functional PBE.

Calculated values
- Calculated density: 7687 kg/m³

abc: 3.0990 3.0990 20.7198
angles: 90.00 90.00 90.00
With the nearest neighbours (Å) after each atom.
Atoms (fractional coordinates):
Mg 0.0000 0.0000 0.0724  4 Au 2.90, 5 Mg 3.00-3.10, 1 Be 3.03
Mg 0.0000 0.0000 0.9276  4 Au 2.90, 5 Mg 3.00-3.10, 1 Be 3.03
Mg 0.5000 0.5000 0.4276  4 Au 2.90, 5 Mg 3.00-3.10, 1 Be 3.03
Mg 0.5000 0.5000 0.5724  4 Au 2.90, 5 Mg 3.00-3.10, 1 Be 3.03
Be 0.0000 0.0000 0.2185  5 Au 2.44-2.47, 4 Be 2.55
Be 0.0000 0.0000 0.7815  5 Au 2.44-2.47, 4 Be 2.55
Be 0.5000 0.5000 0.2815  5 Au 2.44-2.47, 4 Be 2.55
Be 0.5000 0.5000 0.7185  5 Au 2.44-2.47, 4 Be 2.55
Au 0.0000 0.0000 0.3363  5 Be 2.44-2.47
Au 0.0000 0.0000 0.6637  5 Be 2.44-2.47
Au 0.5000 0.5000 0.1637  5 Be 2.44-2.47
Au 0.5000 0.5000 0.8363  5 Be 2.44-2.47

---

--- y ---
An optimized crystal structure of MgBeAu. Source: Alexandria via LeMat-Bulk, functional PBE.

Calculated values
- Calculated density: 7814 kg/m³

abc: 5.8064 5.8064 5.8064
angles: 90.00 90.00 90.00
With the nearest neighbours (Å) after each atom.
Atoms (fractional coordinates):
Mg 0.0000 0.0000 0.0000  4 Be 2.51
Mg 0.0000 0.5000 0.5000  4 Be 2.51
Mg 0.5000 0.0000 0.5000  4 Be 2.51
Mg 0.5000 0.5000 0.0000  4 Be 2.51
Be 0.2500 0.2500 0.2500  4 Au 2.51, 4 Mg 2.51
Be 0.2500 0.7500 0.7500  4 Mg 2.51, 4 Au 2.51
Be 0.7500 0.2500 0.7500  4 Mg 2.51, 4 Au 2.51
Be 0.7500 0.7500 0.2500  4 Mg 2.51, 4 Au 2.51
Au 0.0000 0.0000 0.5000  4 Be 2.51
Au 0.0000 0.5000 0.0000  4 Be 2.51
Au 0.5000 0.0000 0.0000  4 Be 2.51
Au 0.5000 0.5000 0.5000  4 Be 2.51

---

Most stable pick: x. Distance to second place: 6.5 kJ/mol of atoms.

---

--- w ---
An optimized crystal structure of MgBeAu4. Source: Alexandria via LeMat-Bulk, functional PBE.

Calculated values
- Calculated density: 11810 kg/m³

abc: 5.4657 5.4657 5.4657
angles: 60.00 60.00 60.00
With the nearest neighbours (Å) after each atom.
Atoms (fractional coordinates):
Mg 0.0000 0.0000 0.0000  12 Au 3.20, 4 Be 3.35
Be 0.2500 0.2500 0.2500  12 Au 3.20, 4 Mg 3.35
Au 0.1253 0.6249 0.6249  6 Au 2.73
Au 0.6249 0.1253 0.6249  6 Au 2.73
Au 0.6249 0.6249 0.1253  6 Au 2.73
Au 0.6249 0.6249 0.6249  6 Au 2.73

---

--- x ---
An optimized crystal structure of MgBeAu4. Source: Alexandria via LeMat-Bulk, functional PBE.

Calculated values
- Calculated density: 12448 kg/m³

abc: 6.9799 6.9799 5.6774
angles: 110.79 110.79 60.30
With the nearest neighbours (Å) after each atom.
Atoms (fractional coordinates):
Mg 0.1041 0.1041 0.3248  8 Au 2.74-2.82
Mg 0.8959 0.8959 0.6752  8 Au 2.74-2.82
Be 0.3565 0.3565 0.1325  8 Au 2.53-2.57
Be 0.6435 0.6435 0.8675  8 Au 2.53-2.57
Au 0.0281 0.4665 0.7541  2 Be 2.53-2.55, 3 Au 2.78-2.80, 2 Mg 2.80-2.82
Au 0.2973 0.7027 0.5000  2 Be 2.53, 2 Au 2.78, 2 Mg 2.82
Au 0.2998 0.7002 0.0000  2 Be 2.57, 2 Mg 2.74, 5 Au 2.79-2.84
Au 0.4665 0.0281 0.7541  2 Be 2.53-2.55, 3 Au 2.78-2.80, 2 Mg 2.80-2.82
Au 0.5335 0.9719 0.2459  2 Be 2.53-2.55, 3 Au 2.78-2.80, 2 Mg 2.80-2.82
Au 0.7002 0.2998 0.0000  2 Be 2.57, 2 Mg 2.74, 5 Au 2.79-2.84
Au 0.7027 0.2973 0.5000  2 Be 2.53, 2 Au 2.78, 2 Mg 2.82
Au 0.9719 0.5335 0.2459  2 Be 2.53-2.55, 3 Au 2.78-2.80, 2 Mg 2.80-2.82

---

Most stable pick: x. Distance to second place: 34.5 kJ/mol of atoms.